The following is a DFT calculation (PBE) of a relaxed SbMoH2 crystal.

Lattice parameters (Å, degrees): 4.0441 4.0441 4.0441 60.00 60.00 60.00
Atoms (fractional coordinates):
Sb  0.5000  0.5000  0.5000
Mo  0.0000  0.0000  0.0000
H  0.2500  0.2500  0.2500
H  0.7500  0.7500  0.7500

- Total moment: 0.351 μB per atom
- Calculated total energy: -0.1596 hartree per atom